(1)
Computed, not measured: an optimized crystal structure of Pm4Ni2Sb at the PBE level of DFT.

* VASP energy: -5.374 eV/atom
* energy relative to the elements, uncorrected: -0.419 eV/atom

Unit cell a=13.1417 b=13.1599 c=8.6997 alpha=90.00 beta=90.00 gamma=90.00
Space group Fdd2 (No. 43)
Asymmetric unit:
Pm: 0.0600 0.1177 0.0000 x16
Pm: 0.1188 0.4410 0.8396 x16
Ni: 0.0790 0.1707 0.2945 x16
Sb: 0.0000 0.0000 0.6697 x8



(2)
Computed, not measured: an optimized crystal structure of SiCI2O at the PBE level of DFT.

* VASP energy: -3.336 eV/atom
* energy relative to the elements, uncorrected: 1.205 eV/atom
* distance to the lowest polymorph of the same formula: 1.369 eV per formula unit

Unit cell a=5.6786 b=5.6786 c=3.1804 alpha=90.00 beta=90.00 gamma=90.00
Space group P4/mmm (No. 123)
Asymmetric unit:
Si: 0.0000 0.0000 0.0000 x1
C: 0.5000 0.5000 0.5000 x1
I: 0.0000 0.5000 0.5000 x2
O: 0.5000 0.5000 0.0000 x1



(3)
Computed, not measured: an optimized crystal structure of NdGe5 at the PBE level of DFT.

* VASP energy: -4.750 eV/atom

Unit cell a=4.9844 b=13.4652 c=3.7394 alpha=90.00 beta=90.00 gamma=90.00
Space group Cmmm (No. 65)
Asymmetric unit:
Nd: 0.0000 0.0000 0.0000 x2
Ge: 0.0000 0.1935 0.5000 x4
Ge: 0.0000 0.3441 0.0000 x4
Ge: 0.0000 0.5000 0.5000 x2



Repeat the third record exactly.
Computed, not measured: an optimized crystal structure of NdGe5 at the PBE level of DFT.

* VASP energy: -4.750 eV/atom

Unit cell a=4.9844 b=13.4652 c=3.7394 alpha=90.00 beta=90.00 gamma=90.00
Space group Cmmm (No. 65)
Asymmetric unit:
Nd: 0.0000 0.0000 0.0000 x2
Ge: 0.0000 0.1935 0.5000 x4
Ge: 0.0000 0.3441 0.0000 x4
Ge: 0.0000 0.5000 0.5000 x2